The following is a GGA+U calculation of a geometry-optimized AgTeWO5 structure, from the Alexandria database.

Results
The magnetic moment comes out at 0.00 μB per atom. As for the space group: C2/c. The value obtained for the density is 6.9 Mg/m³. As for the crystal system: monoclinic. Its total energy is -5.8678 eV/atom.

Lattice parameters (Å, degrees): 5.9632 5.9632 7.7793 100.07 100.07 114.23
Closest atoms and distances in Å follow each position.
Positions (direct):
Ag (0.1981, 0.8019, 0.7500)  4 O 2.26-2.44
Ag (0.8019, 0.1981, 0.2500)  4 O 2.26-2.44
Te (0.1523, 0.8477, 0.2500)  2 O 2.00
Te (0.8477, 0.1523, 0.7500)  2 O 2.00
W (0.5000, 0.5000, 0.0000)  6 O 1.91-2.02
W (0.5000, 0.5000, 0.5000)  6 O 1.91-2.02
O (0.1663, 0.1764, 0.9050)  1 Te 2.00, 1 W 2.02
O (0.1764, 0.1663, 0.4050)  1 Te 2.00, 1 W 2.02
O (0.3051, 0.6872, 0.0026)  1 W 1.91
O (0.3128, 0.6949, 0.4974)  1 W 1.91
O (0.4993, 0.5007, 0.7500)  2 W 1.94
O (0.5007, 0.4993, 0.2500)  2 W 1.94
O (0.6872, 0.3051, 0.5026)  1 W 1.91
O (0.6949, 0.3128, 0.9974)  1 W 1.91
O (0.8236, 0.8337, 0.5950)  1 Te 2.00, 1 W 2.02
O (0.8337, 0.8236, 0.0950)  1 Te 2.00, 1 W 2.02